Here is an optimized crystal structure of MgSc2Cu from Alexandria. Energies are from GGA-PBE.

Computed properties:
E = -4.61 eV per atom
Space-group type = Immm, No. 71
Crystal system = orthorhombic

Cell: 5.429 5.429 5.429 Å, 139.08 128.00 68.21°
Atoms (fractional coordinates):
Mg (0.000, 0.000, 0.000)
Sc (0.274, 0.774, 0.500)
Sc (0.726, 0.226, 0.500)
Cu (0.500, 0.500, 0.000)